[1]
# ScTlFeS3

A geometry-optimized ScTlFeS3 structure (PBE, OQMD).

Results
calculated total energy: -5.9077 eV/atom
symmetry: P2_1/m

a = 8.6827 Å, b = 3.7493 Å, c = 9.1919 Å
α = 90.00°, β = 110.62°, γ = 90.00°
Closest atoms and distances in Å follow each position.
Fractional coordinates of all 12 atoms:
Sc 0.1651 0.2500 0.1421  6 S 2.54-2.71
Sc 0.8349 0.7500 0.8579  6 S 2.54-2.71
Tl 0.2874 0.7500 0.7730  7 S 3.15-3.47
Tl 0.7126 0.2500 0.2270  7 S 3.15-3.47
Fe 0.4243 0.7500 0.4051  4 S 2.28-2.33
Fe 0.5757 0.2500 0.5949  4 S 2.28-2.33
S 0.0339 0.2500 0.8478  3 Sc 2.54-2.57
S 0.2937 0.2500 0.4569  3 Fe 2.33
S 0.3757 0.7500 0.1449  1 Fe 2.28
S 0.6243 0.2500 0.8551  1 Fe 2.28
S 0.7063 0.7500 0.5431  3 Fe 2.33
S 0.9661 0.7500 0.1522  3 Sc 2.54-2.57

=====

[2]
# MgTcSnSb

A geometry-optimized MgTcSnSb structure (PBE, OQMD).

Results
calculated total energy: -4.8495 eV/atom
E above lowest polymorph: 0 meV/atom
symmetry: F-43m

a = 4.7960 Å, b = 4.7960 Å, c = 4.7960 Å
α = 60.00°, β = 60.00°, γ = 60.00°
Closest atoms and distances in Å follow each position.
Fractional coordinates of all 4 atoms:
Mg 0.0000 0.0000 0.0000  4 Sn 2.94, 4 Sb 2.94
Tc 0.5000 0.5000 0.5000  4 Sn 2.94, 4 Sb 2.94
Sn 0.7500 0.7500 0.7500  4 Tc 2.94, 4 Mg 2.94
Sb 0.2500 0.2500 0.2500  4 Tc 2.94, 4 Mg 2.94

=====

[3]
# NpFeSn

A geometry-optimized NpFeSn structure (PBE, OQMD).

Results
calculated total energy: -7.0230 eV/atom
symmetry: F-43m

a = 4.6187 Å, b = 4.6187 Å, c = 4.6187 Å
α = 60.00°, β = 60.00°, γ = 60.00°
Closest atoms and distances in Å follow each position.
Fractional coordinates of all 3 atoms:
Np 0.0000 0.0000 0.0000  4 Fe 2.83, 4 Sn 2.83
Fe 0.7500 0.7500 0.7500  4 Np 2.83
Sn 0.2500 0.2500 0.2500  4 Np 2.83

=====

[4]
# PrSmAl

A geometry-optimized PrSmAl structure (PBE, OQMD).

Results
calculated total energy: -3.9501 eV/atom
E above lowest polymorph: 0 meV/atom
symmetry: F-43m

a = 5.1145 Å, b = 5.1145 Å, c = 5.1145 Å
α = 60.00°, β = 60.00°, γ = 60.00°
Closest atoms and distances in Å follow each position.
Fractional coordinates of all 3 atoms:
Pr 0.0000 0.0000 0.0000  4 Sm 3.13
Sm 0.7500 0.7500 0.7500  4 Al 3.13, 4 Pr 3.13
Al 0.5000 0.5000 0.5000  4 Sm 3.13

=====

[5]
# BeZnFe2

A geometry-optimized BeZnFe2 structure (PBE, OQMD).

Results
calculated total energy: -5.4027 eV/atom
E above lowest polymorph: 0 meV/atom
symmetry: Pm-3m

a = 5.5730 Å, b = 5.5730 Å, c = 5.5730 Å
α = 90.00°, β = 90.00°, γ = 90.00°
Closest atoms and distances in Å follow each position.
Fractional coordinates of all 16 atoms:
Be 0.0000 0.0000 0.0000  8 Fe 2.21
Be 0.0000 0.0000 0.5000  8 Fe 2.35
Be 0.0000 0.5000 0.0000  8 Fe 2.35
Be 0.5000 0.0000 0.0000  8 Fe 2.35
Zn 0.0000 0.5000 0.5000  8 Fe 2.49, 4 Be 2.79, 2 Zn 2.79
Zn 0.5000 0.0000 0.5000  8 Fe 2.49, 4 Be 2.79, 2 Zn 2.79
Zn 0.5000 0.5000 0.0000  8 Fe 2.49, 4 Be 2.79, 2 Zn 2.79
Zn 0.5000 0.5000 0.5000  8 Fe 2.62, 6 Zn 2.79
Fe 0.2285 0.2285 0.2285  4 Be 2.21-2.35
Fe 0.2285 0.2285 0.7715  4 Be 2.21-2.35
Fe 0.2285 0.7715 0.2285  4 Be 2.21-2.35
Fe 0.2285 0.7715 0.7715  4 Be 2.21-2.35
Fe 0.7715 0.2285 0.2285  4 Be 2.21-2.35
Fe 0.7715 0.2285 0.7715  4 Be 2.21-2.35
Fe 0.7715 0.7715 0.2285  4 Be 2.21-2.35
Fe 0.7715 0.7715 0.7715  4 Be 2.21-2.35

=====

[6]
# La3NdN2Cl2

A geometry-optimized La3NdN2Cl2 structure (PBE, OQMD).

Results
calculated total energy: -6.5883 eV/atom
symmetry: P3m1

a = 3.7198 Å, b = 3.7198 Å, c = 14.4087 Å
α = 90.00°, β = 90.00°, γ = 120.00°
Closest atoms and distances in Å follow each position.
Fractional coordinates of all 8 atoms:
La 0.0000 0.0000 0.0000  3 N 2.57
La 0.0000 0.0000 0.3128  3 N 2.55
La 0.3333 0.6667 0.5036  3 N 2.55
Nd 0.3333 0.6667 0.8133  3 N 2.50
N 0.6667 0.3333 0.4082  6 La 2.55
N 0.6667 0.3333 0.9026  3 Nd 2.50, 3 La 2.57
Cl 0.0000 0.0000 0.6633  3 Nd 3.05, 3 La 3.15
Cl 0.3333 0.6667 0.1564  6 La 3.11

=====

[7]
# HoLuGe2Os

A geometry-optimized HoLuGe2Os structure (PBE, OQMD).

Results
calculated total energy: -6.5953 eV/atom
E above lowest polymorph: 17 meV/atom
symmetry: C2/m

a = 5.7613 Å, b = 5.7613 Å, c = 10.0028 Å
α = 115.93°, β = 115.93°, γ = 43.63°
Closest atoms and distances in Å follow each position.
Fractional coordinates of all 10 atoms:
Ho 0.0052 0.0052 0.1766  6 Ge 2.91-3.10, 4 Os 3.06-3.17
Ho 0.9948 0.9948 0.8234  6 Ge 2.91-3.10, 4 Os 3.06-3.17
Lu 0.1823 0.1823 0.6145  6 Ge 2.87-3.21, 2 Os 3.16
Lu 0.8177 0.8177 0.3855  6 Ge 2.87-3.21, 2 Os 3.16
Ge 0.3578 0.3578 0.9375  3 Os 2.46-2.54, 1 Ge 2.69
Ge 0.4854 0.4854 0.6226  1 Os 2.60, 1 Ge 2.61, 2 Ho 2.91
Ge 0.5146 0.5146 0.3774  1 Os 2.60, 1 Ge 2.61, 2 Ho 2.91
Ge 0.6422 0.6422 0.0625  3 Os 2.46-2.54, 1 Ge 2.69
Os 0.2702 0.2702 0.1339  4 Ge 2.46-2.60
Os 0.7298 0.7298 0.8661  4 Ge 2.46-2.60

=====

[8]
# YHfZnFe

A geometry-optimized YHfZnFe structure (PBE, OQMD).

Results
calculated total energy: -6.2971 eV/atom
E above lowest polymorph: 0 meV/atom
symmetry: F-43m

a = 4.6622 Å, b = 4.6622 Å, c = 4.6622 Å
α = 60.00°, β = 60.00°, γ = 60.00°
Closest atoms and distances in Å follow each position.
Fractional coordinates of all 4 atoms:
Y 0.0000 0.0000 0.0000  4 Hf 2.85, 4 Zn 2.85
Hf 0.7500 0.7500 0.7500  4 Fe 2.85, 4 Y 2.85
Zn 0.2500 0.2500 0.2500  4 Fe 2.85, 4 Y 2.85
Fe 0.5000 0.5000 0.5000  4 Hf 2.85, 4 Zn 2.85

=====

[9]
# RbSrW

A geometry-optimized RbSrW structure (PBE, OQMD).

Results
calculated total energy: -3.2743 eV/atom
E above lowest polymorph: 0 meV/atom
symmetry: F-43m

a = 5.8815 Å, b = 5.8815 Å, c = 5.8815 Å
α = 60.00°, β = 60.00°, γ = 60.00°
Closest atoms and distances in Å follow each position.
Fractional coordinates of all 3 atoms:
Rb 0.0000 0.0000 0.0000  4 W 3.60
Sr 0.5000 0.5000 0.5000  4 W 3.60
W 0.2500 0.2500 0.2500  4 Rb 3.60, 4 Sr 3.60

=====

[10]
# Cs2CdGaCl6

A geometry-optimized Cs2CdGaCl6 structure (PBE, OQMD).

Results
calculated total energy: -3.0596 eV/atom
symmetry: R-3m

a = 13.1989 Å, b = 13.1989 Å, c = 13.1989 Å
α = 32.44°, β = 32.44°, γ = 32.44°
Closest atoms and distances in Å follow each position.
Fractional coordinates of all 20 atoms:
Cs 0.1259 0.1259 0.1259  12 Cl 3.69-3.88
Cs 0.2910 0.2910 0.2910  12 Cl 3.69-3.73
Cs 0.7090 0.7090 0.7090  12 Cl 3.69-3.73
Cs 0.8741 0.8741 0.8741  12 Cl 3.69-3.88
Cd 0.4129 0.4129 0.4129  6 Cl 2.66-2.68
Cd 0.5871 0.5871 0.5871  6 Cl 2.66-2.68
Ga 0.0000 0.0000 0.0000  6 Cl 2.52
Ga 0.5000 0.5000 0.5000  6 Cl 2.67
Cl 0.1264 0.6210 0.6210  1 Cd 2.66, 1 Ga 2.67
Cl 0.2005 0.2005 0.7140  1 Ga 2.52, 1 Cd 2.68
Cl 0.2005 0.7140 0.2005  1 Ga 2.52, 1 Cd 2.68
Cl 0.2860 0.7995 0.7995  1 Ga 2.52, 1 Cd 2.68
Cl 0.3790 0.3790 0.8736  1 Cd 2.66, 1 Ga 2.67
Cl 0.3790 0.8736 0.3790  1 Cd 2.66, 1 Ga 2.67
Cl 0.6210 0.1264 0.6210  1 Cd 2.66, 1 Ga 2.67
Cl 0.6210 0.6210 0.1264  1 Cd 2.66, 1 Ga 2.67
Cl 0.7140 0.2005 0.2005  1 Ga 2.52, 1 Cd 2.68
Cl 0.7995 0.2860 0.7995  1 Ga 2.52, 1 Cd 2.68
Cl 0.7995 0.7995 0.2860  1 Ga 2.52, 1 Cd 2.68
Cl 0.8736 0.3790 0.3790  1 Cd 2.66, 1 Ga 2.67

=====

[11]
# YBMo

A geometry-optimized YBMo structure (PBE, OQMD).

Results
calculated total energy: -8.0721 eV/atom
E above lowest polymorph: 0 meV/atom
symmetry: Pnma

a = 6.7841 Å, b = 3.4280 Å, c = 8.4143 Å
α = 90.00°, β = 90.00°, γ = 90.00°
Closest atoms and distances in Å follow each position.
Fractional coordinates of all 12 atoms:
Y 0.0211 0.2500 0.1774  4 B 2.73-2.78
Y 0.4789 0.7500 0.6774  4 B 2.73-2.78
Y 0.5211 0.2500 0.3226  4 B 2.73-2.78
Y 0.9789 0.7500 0.8226  4 B 2.73-2.78
B 0.2073 0.7500 0.3811  3 Mo 2.27-2.42
B 0.2927 0.2500 0.8811  3 Mo 2.27-2.42
B 0.7073 0.7500 0.1189  3 Mo 2.27-2.42
B 0.7927 0.2500 0.6189  3 Mo 2.27-2.42
Mo 0.1390 0.2500 0.5482  3 B 2.27-2.42
Mo 0.3610 0.7500 0.0482  3 B 2.27-2.42
Mo 0.6390 0.2500 0.9518  3 B 2.27-2.42
Mo 0.8610 0.7500 0.4518  3 B 2.27-2.42

=====

[12]
# Y2Er3Tm2Ni2Te2

A geometry-optimized Y2Er3Tm2Ni2Te2 structure (PBE, OQMD).

Results
calculated total energy: -5.4873 eV/atom
E above lowest polymorph: 11 meV/atom
symmetry: Imm2

a = 9.3260 Å, b = 9.3260 Å, c = 9.3260 Å
α = 156.26°, β = 67.03°, γ = 118.35°
Closest atoms and distances in Å follow each position.
Fractional coordinates of all 11 atoms:
Y 0.1846 0.0000 0.1846  2 Ni 2.80
Y 0.8154 0.0000 0.8154  2 Ni 2.80
Er 0.1652 0.7975 0.3677  2 Ni 2.78
Er 0.4298 0.7975 0.6323  2 Ni 2.78
Er 0.8782 0.3782 0.5000  3 Te 3.18-3.20
Tm 0.5024 0.6491 0.8533  2 Ni 2.82, 2 Te 3.15
Tm 0.7958 0.6491 0.1467  2 Ni 2.82, 2 Te 3.15
Ni 0.0434 0.3050 0.7384  2 Er 2.78, 2 Y 2.80, 2 Tm 2.82
Ni 0.5666 0.3050 0.2616  2 Er 2.78, 2 Y 2.80, 2 Tm 2.82
Te 0.1441 0.1441 0.0000  6 Er 3.17-3.18, 2 Y 3.18
Te 0.5431 0.0431 0.5000  3 Er 3.12-3.20, 4 Tm 3.15